No. 1
NdEr2MgAu4: relaxed, PBE.

Unit cell a=4.9776 b=4.9776 c=8.8989 alpha=73.76 beta=73.76 gamma=60.00
Atoms (fractional coordinates):
Nd1 0.0000 0.0000 0.0000
Er1 0.7577 0.7577 0.7270
Er2 0.2423 0.2423 0.2730
Mg1 0.5000 0.5000 0.5000
Au1 0.3861 0.3861 0.8417
Au2 0.8762 0.8762 0.3713
Au3 0.1238 0.1238 0.6287
Au4 0.6139 0.6139 0.1583

SG: No. 166
Total DFT energy (no corrections): -34.86 eV per cell
Mass density: 11.9 g/cm3
Formation energy from the elements: -782 meV per atom

=====

No. 2
Pm2Er2Tm3: relaxed, PBE.

Unit cell a=8.3692 b=8.3692 c=8.3692 alpha=109.47 beta=109.47 gamma=109.47
Atoms (fractional coordinates):
Pm1 0.0000 0.0000 0.8115
Pm2 0.5000 0.8115 0.5000
Pm3 0.1885 0.6885 0.6885
Pm4 0.3115 0.5000 0.0000
Er1 0.0000 0.0000 0.4115
Er2 0.5000 0.4115 0.5000
Er3 0.5885 0.0885 0.0885
Er4 0.9115 0.5000 0.0000
Tm1 0.6925 0.7500 0.9425
Tm2 0.8075 0.2500 0.5575
Tm3 0.0575 0.3075 0.2500
Tm4 0.4425 0.1925 0.7500
Tm5 0.2500 0.9425 0.1925
Tm6 0.7500 0.5575 0.3075

SG: No. 199
Total DFT energy (no corrections): -60.86 eV per cell
Mass density: 8.3 g/cm3
Formation energy from the elements: 230 meV per atom

=====

No. 3
Sc2TaIr: relaxed, PBE.

Unit cell a=3.0885 b=3.0886 c=8.4357 alpha=90.00 beta=90.00 gamma=90.00
Atoms (fractional coordinates):
Ir1 0.5000 0.5000 0.7333
Sc1 0.0000 0.0000 0.9430
Sc2 0.5000 0.5000 0.2886
Ta1 0.0000 0.0000 0.5351

SG: No. 99
Total DFT energy (no corrections): -34.80 eV per cell
Mass density: 9.6 g/cm3
Formation energy from the elements: -356 meV per atom

=====

No. 4
BeRh2I2: relaxed, PBE.

Unit cell a=6.5814 b=6.5814 c=4.4468 alpha=90.00 beta=90.00 gamma=90.00
Atoms (fractional coordinates):
I1 0.1763 0.6763 0.5000
I2 0.6763 0.8237 0.5000
I3 0.8237 0.3237 0.5000
I4 0.3237 0.1763 0.5000
Be1 0.0000 0.0000 0.0000
Be2 0.5000 0.5000 0.0000
Rh1 0.3390 0.8390 0.0000
Rh2 0.8390 0.6610 0.0000
Rh3 0.6610 0.1610 0.0000
Rh4 0.1610 0.3390 0.0000

SG: No. 127
Total DFT energy (no corrections): -38.45 eV per cell
Formation energy from raw total energies: 0.46 eV per atom
Mass density: 8.1 g/cm3

=====

No. 5
LaNiRu2: relaxed, PBE.

Unit cell a=4.8553 b=4.8553 c=4.9101 alpha=78.78 beta=78.78 gamma=37.03
Atoms (fractional coordinates):
La1 0.2500 0.2500 0.2500
Ni1 0.7500 0.7500 0.7500
Ru1 0.0264 0.0264 0.9490
Ru2 0.4736 0.4736 0.5510

SG: No. 12
Total DFT energy (no corrections): -28.38 eV per cell
Mass density: 9.7 g/cm3
Formation energy from the elements: 220 meV per atom

=====

No. 6
Ca2MnOs: relaxed, PBE.

Unit cell a=5.4397 b=5.4397 c=5.1313 alpha=61.89 beta=61.89 gamma=43.20
Atoms (fractional coordinates):
Ca1 0.9763 0.9763 0.0237
Ca2 0.7751 0.7751 0.7249
Mn1 0.5609 0.5609 0.4388
Os1 0.1876 0.1876 0.3126

SG: No. 44
Total DFT energy (no corrections): -22.85 eV per cell
Mass density: 6.0 g/cm3
Formation energy from the elements: 388 meV per atom

=====

No. 7
CaCd4Ag: relaxed, PBE.

Unit cell a=5.8346 b=5.8346 c=5.8346 alpha=60.00 beta=60.00 gamma=60.00
Atoms (fractional coordinates):
Ag1 0.2500 0.2500 0.2500
Ca1 0.0000 0.0000 0.0000
Cd1 0.1260 0.6247 0.6247
Cd2 0.6247 0.6247 0.6247
Cd3 0.6247 0.1260 0.6247
Cd4 0.6247 0.6247 0.1260

SG: No. 216
Total DFT energy (no corrections): -9.19 eV per cell
Mass density: 7.1 g/cm3
Formation energy from the elements: -113 meV per atom

=====

No. 8
NiOs2Se: relaxed, PBE.

Unit cell a=4.3376 b=4.3376 c=4.3376 alpha=60.00 beta=60.00 gamma=60.00
Atoms (fractional coordinates):
Ni1 0.5000 0.5000 0.5000
Os1 0.0000 0.0000 0.0000
Os2 0.7500 0.7500 0.7500
Se1 0.2500 0.2500 0.2500

SG: No. 216
Total DFT energy (no corrections): -28.77 eV per cell
Formation energy from raw total energies: 0.74 eV per atom
Mass density: 14.9 g/cm3

=====

No. 9
Si2AsSe: relaxed, PBE.

Unit cell a=6.5279 b=6.5279 c=6.1787 alpha=58.11 beta=58.11 gamma=90.00
Atoms (fractional coordinates):
As1 0.5000 0.5000 0.0000
As2 0.2500 0.7500 0.5000
Si1 0.6125 0.1250 0.2500
Si2 0.1375 0.6250 0.2500
Si3 0.3750 0.3875 0.7500
Si4 0.8750 0.8625 0.7500
Se1 0.0000 0.0000 0.0000
Se2 0.7500 0.2500 0.5000

SG: No. 122
Total DFT energy (no corrections): -35.52 eV per cell
Formation energy from raw total energies: 0.31 eV per atom
Mass density: 4.0 g/cm3

=====

No. 10
K2Na2WSe6: relaxed, PBE.

Unit cell a=6.9886 b=6.9886 c=8.0064 alpha=99.11 beta=99.11 gamma=114.11
Atoms (fractional coordinates):
K1 0.8102 0.1898 0.0000
K2 0.1898 0.8102 0.0000
Na1 0.3476 0.6524 0.5000
Na2 0.6524 0.3476 0.5000
W1 0.0000 0.0000 0.5000
Se1 0.7983 0.7983 0.7031
Se2 0.0586 0.3540 0.6892
Se3 0.2017 0.2017 0.2969
Se4 0.3540 0.0586 0.6892
Se5 0.9414 0.6460 0.3108
Se6 0.6460 0.9414 0.3108

SG: No. 12
Total DFT energy (no corrections): -44.88 eV per cell
Formation energy from raw total energies: -0.56 eV per atom
Mass density: 3.8 g/cm3

=====

No. 11
CsHS2: relaxed, PBE.

Unit cell a=6.1047 b=6.1047 c=6.2978 alpha=61.01 beta=61.01 gamma=90.00
Atoms (fractional coordinates):
Cs1 0.0000 0.0000 0.0000
Cs2 0.7500 0.2500 0.5000
H1 0.5000 0.5000 0.0000
H2 0.2500 0.7500 0.5000
S1 0.3750 0.1250 0.2500
S2 0.3750 0.6250 0.2500
S3 0.3750 0.6250 0.7500
S4 0.8750 0.6250 0.7500

SG: No. 141
Total DFT energy (no corrections): -24.27 eV per cell
Mass density: 3.8 g/cm3

=====

No. 12
Na2SrInGe2: relaxed, PBE.

Unit cell a=4.6055 b=7.8392 c=8.9130 alpha=90.00 beta=90.00 gamma=90.00
Atoms (fractional coordinates):
Na1 0.5000 0.0324 0.0765
Na2 0.0000 0.3515 0.1687
Na3 0.5000 0.5324 0.9235
Na4 0.0000 0.8515 0.8313
Sr1 0.0000 0.9928 0.4344
Sr2 0.0000 0.4928 0.5656
In1 0.5000 0.1510 0.6860
In2 0.5000 0.6510 0.3140
Ge1 0.0000 0.2334 0.8513
Ge2 0.5000 0.2844 0.3804
Ge3 0.0000 0.7334 0.1487
Ge4 0.5000 0.7844 0.6196

SG: No. 26
Total DFT energy (no corrections): -35.91 eV per cell
Mass density: 4.1 g/cm3
Formation energy from the elements: -277 meV per atom